# Y2CuGe4Pd3 (PBE, relaxed)
data_Y2CuGe4Pd3
_chemical_formula_sum 'Y2 Cu1 Ge4 Pd3'
_symmetry_space_group_name_H-M 'P -4 m 2'
_symmetry_Int_Tables_number 115
_cell_length_a 4.140
_cell_length_b 4.140
_cell_length_c 10.768
_cell_angle_alpha 90.00
_cell_angle_beta 90.00
_cell_angle_gamma 90.00
loop_
_symmetry_equiv_pos_as_xyz
'x,y,z'
'y,-x,-z'
'-x,-y,z'
'-y,x,-z'
'-x,y,z'
'-y,-x,-z'
'x,-y,z'
'y,x,-z'
loop_
_atom_site_label
_atom_site_type_symbol
_atom_site_fract_x
_atom_site_fract_y
_atom_site_fract_z
Y1 Y 0.000 0.500 0.237
Cu1 Cu 0.500 0.500 0.000
Ge1 Ge 0.000 0.000 0.500
Ge2 Ge 0.000 0.500 0.867
Ge3 Ge 0.500 0.500 0.500
Pd1 Pd 0.000 0.000 0.000
Pd2 Pd 0.000 0.500 0.640
# ΔH_f (0 K), meV/atom: -704
# VASP energy, eV/f.u.: -58.11
# DOS(E_F), states/eV per atom: 0.467
# Total magnetic moment, μB/f.u.: 0.0
# Volume, A^3/atom: 18.5

# Tb7Pt2Pb2 (PBE, relaxed)
data_Tb7Pt2Pb2
_chemical_formula_sum 'Tb14 Pt4 Pb4'
_symmetry_space_group_name_H-M 'C m m m'
_symmetry_Int_Tables_number 65
_symmetry_space_group_name_Hall '-C 2 2'
_cell_length_a 8.425
_cell_length_b 11.117
_cell_length_c 7.146
_cell_angle_alpha 90.00
_cell_angle_beta 90.00
_cell_angle_gamma 90.00
loop_
_atom_site_label
_atom_site_type_symbol
_atom_site_fract_x
_atom_site_fract_y
_atom_site_fract_z
Tb1 Tb 0.000 0.000 0.000
Tb2 Tb 0.000 0.500 0.235
Tb3 Tb 0.250 0.250 0.247
Pt1 Pt 0.000 0.284 0.000
Pb1 Pb 0.186 0.000 0.500
# ΔH_f (0 K), meV/atom: -559
# VASP energy, eV/f.u.: -58.06
# DOS(E_F), states/eV per atom: 0.894
# Total magnetic moment, μB/f.u.: 0.0
# Volume, A^3/atom: 30.4

# PtAu2Se (PBE, relaxed)
data_PtAu2Se
_chemical_formula_sum 'Pt2 Au4 Se2'
_symmetry_space_group_name_H-M 'I 4/m m m'
_symmetry_Int_Tables_number 139
_symmetry_space_group_name_Hall '-I 4 2'
_cell_length_a 3.999
_cell_length_b 3.999
_cell_length_c 9.004
_cell_angle_alpha 90.00
_cell_angle_beta 90.00
_cell_angle_gamma 90.00
loop_
_atom_site_label
_atom_site_type_symbol
_atom_site_fract_x
_atom_site_fract_y
_atom_site_fract_z
Pt1 Pt 0.000 0.000 0.000
Au1 Au 0.000 0.500 0.250
Se1 Se 0.000 0.000 0.500
# VASP energy, eV/f.u.: -15.04
# DOS(E_F), states/eV per atom: 0.712
# Total magnetic moment, μB/f.u.: 0.0
# Formation energy from raw total energies, eV per atom: 0.26
# Volume, A^3/atom: 18.0

# LaPd2Se2 (PBE, relaxed)
data_LaPd2Se2
_chemical_formula_sum 'La2 Pd4 Se4'
_symmetry_space_group_name_H-M 'I 4/m m m'
_symmetry_Int_Tables_number 139
_symmetry_space_group_name_Hall '-I 4 2'
_cell_length_a 4.115
_cell_length_b 4.115
_cell_length_c 12.222
_cell_angle_alpha 90.00
_cell_angle_beta 90.00
_cell_angle_gamma 90.00
loop_
_atom_site_label
_atom_site_type_symbol
_atom_site_fract_x
_atom_site_fract_y
_atom_site_fract_z
La1 La 0.000 0.000 0.000
Pd1 Pd 0.000 0.500 0.250
Se1 Se 0.000 0.000 0.381
# VASP energy, eV/f.u.: -26.73
# DOS(E_F), states/eV per atom: 0.817
# Total magnetic moment, μB/f.u.: 0.0
# Formation energy from raw total energies, eV per atom: -0.89
# Volume, A^3/atom: 20.7
# ΔE to the lowest computed polymorph, eV per formula unit: 0.00

# SmGdTl4 (PBE, relaxed)
data_SmGdTl4
_chemical_formula_sum 'Sm4 Gd4 Tl16'
_symmetry_space_group_name_H-M 'F -4 3 m'
_symmetry_Int_Tables_number 216
_symmetry_space_group_name_Hall 'F -4 2 3'
_cell_length_a 8.810
_cell_length_b 8.810
_cell_length_c 8.810
_cell_angle_alpha 90.00
_cell_angle_beta 90.00
_cell_angle_gamma 90.00
loop_
_atom_site_label
_atom_site_type_symbol
_atom_site_fract_x
_atom_site_fract_y
_atom_site_fract_z
Sm1 Sm 0.000 0.000 0.000
Gd1 Gd 0.250 0.250 0.750
Tl1 Tl 0.125 0.125 0.375
# ΔH_f (0 K), meV/atom: -102
# VASP energy, eV/f.u.: -28.87
# DOS(E_F), states/eV per atom: 1.113
# Total magnetic moment, μB/f.u.: 7.6
# Volume, A^3/atom: 28.5

# BaZrCd (PBE, relaxed)
data_BaZrCd
_chemical_formula_sum 'Ba2 Zr2 Cd2'
_symmetry_space_group_name_H-M 'P 1'
_symmetry_Int_Tables_number 1
_cell_length_a 3.436
_cell_length_b 5.710
_cell_length_c 9.834
_cell_angle_alpha 73.31
_cell_angle_beta 87.25
_cell_angle_gamma 80.85
loop_
_symmetry_equiv_pos_as_xyz
'x,y,z'
loop_
_atom_site_label
_atom_site_type_symbol
_atom_site_fract_x
_atom_site_fract_y
_atom_site_fract_z
Ba1 Ba 0.000 0.000 0.000
Ba2 Ba 0.002 0.373 0.258
Zr1 Zr 0.159 0.416 0.629
Zr2 Zr 0.839 0.959 0.629
Cd1 Cd 0.499 0.806 0.391
Cd2 Cd 0.503 0.567 0.866
# ΔH_f (0 K), meV/atom: 125
# VASP energy, eV/f.u.: -11.01
# DOS(E_F), states/eV per atom: 1.469
# Total magnetic moment, μB/f.u.: 0.0
# Volume, A^3/atom: 30.4
# ΔE to the lowest computed polymorph, eV per formula unit: 0.11